[1]
VASP calculation (PBE) on a geometry-optimized NdTePd structure.

- raw formation energy (eV per atom) = -0.83

Lattice parameters (Å, degrees): 4.099 4.099 9.127 90.00 90.00 90.00
Element x y z (fractional)
Nd 0.000 0.000 0.000
Nd 0.500 0.500 0.500
Te 0.000 0.000 0.347
Te 0.500 0.500 0.847
Pd 0.000 0.000 0.656
Pd 0.500 0.500 0.156

[2]
VASP calculation (PBE) on a geometry-optimized ScWCl2 structure.

- raw formation energy (eV per atom) = -0.03
- distance to the lowest polymorph of the same formula (kJ/mol of formula units) = 170

Lattice parameters (Å, degrees): 3.605 4.140 4.883 90.00 90.08 90.00
Element x y z (fractional)
Sc 0.000 0.000 0.000
W 0.500 0.000 0.500
Cl 0.281 0.500 0.733
Cl 0.719 0.500 0.267

[3]
VASP calculation (PBE) on a geometry-optimized NdTc2GeC structure.

- ΔE_f (eV per atom) = -0.372

Lattice parameters (Å, degrees): 5.870 5.870 7.527 90.00 90.00 139.87
Element x y z (fractional)
Nd 0.044 0.956 0.750
Nd 0.956 0.044 0.250
Tc 0.329 0.671 0.559
Tc 0.329 0.671 0.941
Tc 0.671 0.329 0.059
Tc 0.671 0.329 0.441
Ge 0.232 0.768 0.250
Ge 0.768 0.232 0.750
C 0.500 0.500 0.000
C 0.500 0.500 0.500

[4]
VASP calculation (PBE) on a geometry-optimized Tb2MgTa structure.

- ΔE_f (eV per atom) = 0.574

Lattice parameters (Å, degrees): 3.142 3.142 35.719 90.00 90.00 120.00
Element x y z (fractional)
Tb 0.000 0.000 0.084
Tb 0.000 0.000 0.916
Tb 0.333 0.667 0.583
Tb 0.333 0.667 0.750
Tb 0.667 0.333 0.250
Tb 0.667 0.333 0.417
Mg 0.000 0.000 0.500
Mg 0.333 0.667 0.167
Mg 0.667 0.333 0.833
Ta 0.000 0.000 0.000
Ta 0.333 0.667 0.667
Ta 0.667 0.333 0.333

- Which formula does entry 3 have?
  NdTc2GeC